The following is a DFT calculation (GGA-PBEsol) of an optimized crystal structure of K2LiZnRu.

Computed properties:
ΔH_f (0 K) ... 1.355 eV/atom
Total DFT energy (no corrections) ... -1.84 eV per atom

Cell lengths 4.7904, 5.7096, 5.7096 Å; angles 90.00, 90.00, 90.00 degrees
With the nearest neighbours (Å) after each atom.
Fractional positions:
K1 0.0000 0.5000 0.0000  2 Li 2.85
K2 0.0000 0.0000 0.5000  2 Li 2.85
Li1 0.0000 0.0000 0.0000  2 Zn 2.40
Ru1 0.5000 0.5000 0.5000  8 K 3.73, 4 Zn 4.04
Zn1 0.5000 0.0000 0.0000  2 Li 2.40